Mn2ReNiH (GGA-PBE, relaxed); distance to the lowest polymorph of the same formula = 0.0 meV/atom
1.0
3.711 0.000 0.000
0.000 3.711 0.000
0.000 0.000 3.546
Mn Re Ni H
2 1 1 1
direct
0.000 0.500 0.000
0.500 0.000 0.000
0.000 0.000 0.500
0.500 0.500 0.500
0.500 0.500 0.000


MnNi2HRh (GGA-PBE, relaxed); distance to the lowest polymorph of the same formula = 0.0 meV/atom
1.0
3.689 0.000 0.000
0.000 3.689 0.000
0.000 0.000 3.818
Mn Ni H Rh
1 2 1 1
direct
0.000 0.000 0.000
0.000 0.500 0.500
0.500 0.000 0.500
0.500 0.500 0.500
0.500 0.500 0.000


MnNiH3Rh (GGA-PBE, relaxed); VASP energy = -5.419 eV per atom
1.0
4.603 0.000 0.000
0.000 2.846 0.000
-1.476 0.000 7.003
Mn Ni H Rh
2 2 6 2
direct
0.155 0.250 0.191
0.845 0.750 0.809
0.352 0.250 0.870
0.648 0.750 0.130
0.046 0.250 0.680
0.269 0.750 0.996
0.465 0.750 0.333
0.535 0.250 0.667
0.731 0.250 0.004
0.954 0.750 0.320
0.263 0.750 0.545
0.737 0.250 0.455


MnNi2HRh (GGA-PBE, relaxed); distance to the lowest polymorph of the same formula = 34.0 meV/atom
1.0
3.640 0.000 0.000
0.000 3.640 0.000
0.000 0.000 3.861
Mn Ni H Rh
1 2 1 1
direct
0.000 0.000 0.000
0.000 0.500 0.500
0.500 0.000 0.500
0.000 0.000 0.500
0.500 0.500 0.000


Mn2NiHRu (GGA-PBE, relaxed); distance to the lowest polymorph of the same formula = 0.0 meV/atom
1.0
3.700 0.000 0.000
0.000 3.700 0.000
0.000 0.000 3.635
Mn Ni H Ru
2 1 1 1
direct
0.000 0.500 0.000
0.500 0.000 0.000
0.000 0.000 0.500
0.000 0.000 0.000
0.500 0.500 0.500


Mn2NiHRu (GGA-PBE, relaxed); distance to the lowest polymorph of the same formula = 54.4 meV/atom
1.0
3.627 0.000 0.000
0.000 3.627 0.000
0.000 0.000 3.712
Mn Ni H Ru
2 1 1 1
direct
0.000 0.500 0.000
0.500 0.000 0.000
0.000 0.000 0.500
0.500 0.500 0.000
0.500 0.500 0.500